{
  "formula": "K2LiIn12Ag3",
  "functional": "PBE",
  "state": "optimized geometry",
  "energy_ev_per_atom": -2.506,
  "crystal_system": "trigonal",
  "sg": "R-3m, No. 166",
  "cell": [[-2.820, 9.187, 6.649], [0.343, 4.004, 10.974], [4.593, 8.397, 6.706]],
  "species": ["In", "In", "In", "K", "K", "In", "In", "In", "Ag", "In", "Ag", "Li", "In", "In", "In", "In", "In", "Ag"],
  "frac_coords": [[0.919, 0.364, 0.919], [0.364, 0.919, 0.919], [0.081, 0.636, 0.081], [0.354, 0.354, 0.354], [0.646, 0.646, 0.646], [0.410, 0.818, 0.410], [0.818, 0.410, 0.410], [0.410, 0.410, 0.818], [0.500, 0.000, 0.000], [0.182, 0.590, 0.590], [0.000, 0.000, 0.500], [0.000, 0.000, 0.000], [0.590, 0.590, 0.182], [0.081, 0.081, 0.636], [0.636, 0.081, 0.081], [0.919, 0.919, 0.364], [0.590, 0.182, 0.590], [0.000, 0.500, 0.000]]
}